# 1
A relaxed structure of NaLaTcH2, computed with GGA-PBEsol.

Values from the calculation:
spin magnetization = 0.0 μB per cell
volume = 76.0 Å³ per cell
DOS(E_F) = 4.10 states/eV per cell
E = -20.43 eV/cell

abc: 3.955 3.955 4.863
angles: 90.00 90.00 90.00
Fractional coordinates of all 5 atoms:
H (0.000, 0.500, 0.000)
H (0.500, 0.000, 0.000)
Na (0.000, 0.000, 0.500)
Tc (0.000, 0.000, 0.000)
La (0.500, 0.500, 0.500)

# 2
A relaxed structure of HfTeAsI2, computed with GGA-PBEsol.

Values from the calculation:
uncorrected formation energy = 0.195 eV/atom
spin magnetization = 2.9 μB per cell
volume = 173.7 Å³ per cell
DOS(E_F) = 1.82 states/eV per cell

abc: 5.508 5.616 5.616
angles: 90.00 90.00 90.00
Last column: magnetic moment on the atom in μB.
Fractional coordinates of all 5 atoms:
As (0.500, 0.500, 0.500)  1.11
Hf (0.000, 0.000, 0.000)  0.21
I (0.000, 0.000, 0.500)  0.03
I (0.000, 0.500, 0.000)  0.03
Te (0.500, 0.000, 0.000)  -0.01

# 3
A relaxed structure of CsFePH12O10, computed with GGA-PBEsol.

Values from the calculation:
spin magnetization = 4.0 μB per cell
volume = 250.1 Å³ per cell
DOS(E_F) = 8.36 states/eV per cell
E = -140.37 eV/cell

abc: 7.072 7.072 7.072
angles: 60.00 60.00 60.00
Last column: magnetic moment on the atom in μB.
Fractional coordinates of all 25 atoms:
O (0.960, 0.540, 0.540)  0.04
O (0.410, 0.410, 0.769)  0.00
O (0.540, 0.960, 0.960)  0.04
O (0.769, 0.410, 0.410)  0.00
O (0.410, 0.769, 0.410)  0.00
O (0.960, 0.960, 0.540)  0.04
O (0.540, 0.540, 0.960)  0.04
O (0.960, 0.540, 0.960)  0.04
O (0.540, 0.960, 0.540)  0.04
O (0.410, 0.410, 0.410)  0.00
Fe (0.750, 0.750, 0.750)  3.61
H (0.896, 0.135, 0.485)  0.00
H (0.135, 0.896, 0.485)  0.00
H (0.896, 0.485, 0.135)  0.00
H (0.485, 0.896, 0.485)  0.00
H (0.485, 0.135, 0.485)  0.00
H (0.135, 0.485, 0.896)  0.00
H (0.485, 0.485, 0.896)  0.00
H (0.485, 0.896, 0.135)  0.00
H (0.135, 0.485, 0.485)  0.00
H (0.485, 0.135, 0.896)  0.00
H (0.485, 0.485, 0.135)  0.00
H (0.896, 0.485, 0.485)  0.00
Cs (0.000, 0.000, 0.000)  0.00
P (0.500, 0.500, 0.500)  0.00

# 4
A relaxed structure of MgPRu, computed with GGA-PBEsol.

Values from the calculation:
spin magnetization = 0.0 μB per cell
volume = 45.5 Å³ per cell
formation enthalpy at 0 K = -420 meV/atom
DOS(E_F) = 1.03 states/eV per cell

abc: 3.380 3.944 3.944
angles: 120.00 90.00 90.00
Fractional coordinates of all 3 atoms:
P (0.500, 0.333, 0.667)
Mg (0.000, 0.000, 0.000)
Ru (0.500, 0.667, 0.333)